## K2Li2CdBr6 (PBE-GGA)

Data for a relaxed K2Li2CdBr6 crystal.

## Properties
Energy relative to the elements, uncorrected ... -1.37 eV per atom
Raw total energy ... -2.913 eV per atom
Density of states at the Fermi level ... 0.00 states/eV/atom
Space group ... C2/m

a = 7.624 Å, b = 7.624 Å, c = 8.039 Å
α = 112.73°, β = 112.73°, γ = 62.02°
Sites, in units of the cell vectors:
K 0.211 0.211 0.158
K 0.789 0.789 0.842
Li 0.438 0.438 0.719
Li 0.562 0.562 0.281
Cd 0.000 0.000 0.500
Br 0.187 0.695 0.212
Br 0.231 0.231 0.575
Br 0.305 0.813 0.788
Br 0.695 0.187 0.212
Br 0.769 0.769 0.425
Br 0.813 0.305 0.788